[1]
Entry from Alexandria: an optimized crystal structure of Cs2Cu2PdI6 (GGA-PBE).

Computed properties:
Formation energy without anion corrections ... -0.616 eV per atom

abc: 8.3102 8.3102 8.4548
angles: 60.56 60.56 60.00
Element x y z (fractional)
Cs1 0.7535 0.7535 0.7396
Cs2 0.2465 0.2465 0.2604
Cu1 0.4375 0.4375 0.6875
Cu2 0.5625 0.5625 0.3125
Pd1 0.0000 0.0000 0.0000
I1 0.7589 0.7589 0.2510
I2 0.2312 0.7589 0.2510
I3 0.7589 0.2312 0.2510
I4 0.2411 0.7688 0.7490
I5 0.7688 0.2411 0.7490
I6 0.2411 0.2411 0.7490



[2]
Entry from Alexandria: an optimized crystal structure of La5Sm12Sc2 (GGA-PBE).

Computed properties:
Formation energy ... 0.175 eV/atom

abc: 7.8843 10.0172 9.5155
angles: 71.90 90.00 113.17
Element x y z (fractional)
La1 0.2155 0.4311 0.7746
La2 0.3118 0.6236 0.2038
La3 0.0000 0.0000 0.5000
La4 0.6882 0.3764 0.7962
La5 0.7845 0.5689 0.2254
Sm1 0.9624 0.9249 0.1762
Sm2 0.0753 0.6993 0.8797
Sm3 0.6241 0.6993 0.8797
Sm4 0.0977 0.6954 0.4917
Sm5 0.5977 0.6954 0.4917
Sm6 0.4806 0.9612 0.6800
Sm7 0.5194 0.0388 0.3200
Sm8 0.9023 0.3046 0.5083
Sm9 0.4023 0.3046 0.5083
Sm10 0.9247 0.3007 0.1203
Sm11 0.3759 0.3007 0.1203
Sm12 0.0376 0.0751 0.8238
Sc1 0.6708 0.0000 0.0000
Sc2 0.3292 0.0000 0.0000



[3]
Entry from Alexandria: an optimized crystal structure of Nd5Tl2In (GGA-PBE).

Computed properties:
Formation energy ... -0.314 eV/atom

abc: 8.8244 8.8244 9.0176
angles: 119.29 119.29 90.00
Element x y z (fractional)
Nd1 0.5034 0.6921 0.6955
Nd2 0.8079 0.9966 0.3045
Nd3 0.0000 0.0000 0.0000
Nd4 0.5000 0.5000 0.0000
Nd5 0.1921 0.0034 0.6955
Nd6 0.6921 0.1921 0.6955
Nd7 0.0034 0.5034 0.6955
Nd8 0.3079 0.8079 0.3045
Nd9 0.9966 0.4966 0.3045
Nd10 0.4966 0.3079 0.3045
Tl1 0.1444 0.3556 0.0000
Tl2 0.6444 0.1444 0.0000
Tl3 0.3556 0.8556 0.0000
Tl4 0.8556 0.6444 0.0000
In1 0.7500 0.7500 0.5000
In2 0.2500 0.2500 0.5000



[4]
Entry from Alexandria: an optimized crystal structure of DyHoAg2S4 (GGA-PBE).

Computed properties:
Formation energy without anion corrections ... -1.310 eV per atom

abc: 4.0602 7.7023 7.0890
angles: 103.13 90.00 90.00
Element x y z (fractional)
Dy1 0.5000 0.5000 0.0000
Ho1 0.0000 0.5000 0.5000
Ag1 0.0000 0.0000 0.0000
Ag2 0.5000 0.0000 0.5000
S1 0.0000 0.6879 0.8765
S2 0.0000 0.3121 0.1235
S3 0.5000 0.6875 0.3788
S4 0.5000 0.3125 0.6212



[5]
Entry from Alexandria: an optimized crystal structure of Li2TcPb (GGA-PBE).

Computed properties:
Formation energy ... 0.229 eV/atom

abc: 3.3588 4.4318 4.6142
angles: 90.00 90.00 90.00
Element x y z (fractional)
Li1 0.0000 0.0000 0.0000
Li2 0.5000 0.5000 0.0000
Pb1 0.5000 0.0000 0.5000
Tc1 0.0000 0.5000 0.5000



[6]
Entry from Alexandria: an optimized crystal structure of HoHF (GGA-PBE).

abc: 3.8066 3.8066 3.8066
angles: 60.00 60.00 60.00
Element x y z (fractional)
H1 0.0000 0.0000 0.0000
Ho1 0.2500 0.2500 0.2500
F1 0.5000 0.5000 0.5000



[7]
Entry from Alexandria: an optimized crystal structure of Tb2PaRh2 (GGA-PBE).

Computed properties:
Formation energy ... -0.718 eV/atom

abc: 6.3364 6.3364 7.2202
angles: 80.40 80.40 57.73
Element x y z (fractional)
Tb1 0.4582 0.2365 0.1482
Tb2 0.7635 0.5418 0.3518
Tb3 0.5418 0.7635 0.8518
Tb4 0.2365 0.4582 0.6482
Pa1 0.0915 0.9085 0.2500
Pa2 0.9085 0.0915 0.7500
Rh1 0.7228 0.9819 0.5166
Rh2 0.0181 0.2772 0.9834
Rh3 0.2772 0.0181 0.4834
Rh4 0.9819 0.7228 0.0166



[8]
Entry from Alexandria: an optimized crystal structure of HoMgGaAu (GGA-PBE).

Computed properties:
Formation energy ... -0.632 eV/atom

abc: 4.8739 4.8739 4.8739
angles: 60.00 60.00 60.00
Element x y z (fractional)
Mg1 0.5000 0.5000 0.5000
Au1 0.7500 0.7500 0.7500
Ho1 0.0000 0.0000 0.0000
Ga1 0.2500 0.2500 0.2500



For reference, E_tot by record: -2.8335; -4.7682; -4.2275; -5.2341; -4.2460; -5.1900; -7.4099; -3.7515 eV per atom.
For reference, Fermi-level density of states by record: 4.1; 29.9; 18.0; 0.0; 2.6; 1.9; 11.0; 2.9 states/eV per cell.